Entry 1:
Density functional theory data (PBE-GGA) for a geometry-optimized CaZnSi2Pt structure.

Results
Uncorrected formation energy in eV per atom: -0.638
Space group: I-4m2 (119)

Lattice parameters (Å, degrees): 5.933 5.933 5.933 139.38 139.38 58.80
Fractional positions:
Ca: 0.000 0.000 0.000
Zn: 0.250 0.750 0.500
Si: 0.386 0.386 0.000
Si: 0.614 0.614 0.000
Pt: 0.750 0.250 0.500

Entry 2:
Density functional theory data (PBE-GGA) for a geometry-optimized YTePt2 structure.

Results
Uncorrected formation energy in eV per atom: -0.724
Space group: R3m (160)
Energy above the most stable polymorph in this dataset in eV per formula unit: 0.21

Lattice parameters (Å, degrees): 5.681 5.681 5.681 47.12 47.12 47.12
Fractional positions:
Y: 0.000 0.000 0.000
Te: 0.804 0.804 0.804
Pt: 0.234 0.234 0.234
Pt: 0.420 0.420 0.420

Entry 3:
Density functional theory data (PBE-GGA) for a geometry-optimized Tm2Cd2In structure.

Results
Space group: C2/m (12)
Energy relative to the elements in meV/atom: -287

Lattice parameters (Å, degrees): 6.093 6.093 9.611 108.49 108.49 48.30
Fractional positions:
Tm: 0.047 0.047 0.345
Tm: 0.166 0.166 0.058
Tm: 0.834 0.834 0.942
Tm: 0.953 0.953 0.655
Cd: 0.365 0.365 0.422
Cd: 0.469 0.469 0.136
Cd: 0.531 0.531 0.864
Cd: 0.635 0.635 0.578
In: 0.256 0.256 0.708
In: 0.744 0.744 0.292

Entry 4:
Density functional theory data (PBE-GGA) for a geometry-optimized Hg2AsRu2 structure.

Results
Space group: P4/mbm (127)
Energy relative to the elements in meV/atom: 194

Lattice parameters (Å, degrees): 6.283 6.283 4.627 90.00 90.00 90.00
Fractional positions:
Hg: 0.164 0.336 0.000
Hg: 0.336 0.836 0.000
Hg: 0.664 0.164 0.000
Hg: 0.836 0.664 0.000
As: 0.000 0.000 0.500
As: 0.500 0.500 0.500
Ru: 0.150 0.650 0.500
Ru: 0.350 0.150 0.500
Ru: 0.650 0.850 0.500
Ru: 0.850 0.350 0.500

Q: Which formula does entry 2 have?
A: YTePt2